DFT (GGA-PBE) results for a relaxed PmMg2Hg crystal.

Structure (POSCAR):
```
PmMg2Hg
1.0
-2.588 2.588 3.636
2.588 -2.588 3.636
2.588 2.588 -3.636
Pm Mg Hg
1 2 1
Direct
0.000 0.000 0.000 Pm
0.250 0.750 0.500 Mg
0.500 0.500 0.000 Mg
0.750 0.250 0.500 Hg
```

Calculated values
For the formation energy, the calculation gives -292 meV per atom. Its excess energy over the best structure of this formula in the dataset is 0.00 eV/f.u. The energy comes out at -2.35 eV per atom. The value obtained for the size of the total moment is 0.000 μB/f.u.